# LaRe2Rh

An optimized crystal structure of LaRe2Rh (PBE, the Alexandria database).

The calculation puts the formation energy at 0.096 eV per atom. For the volume, the calculation gives 74.5 Å³ per cell. The value obtained for the density is 13.68 g/cm3. The magnetic moment is 0.00 μB per cell. The raw total energy is -36.79 eV for the cell shown.

The structure belongs to space group P4mm (No. 99); the cell edges are 3.106, 3.106 and 7.727 Å and the angles 90.00°, 90.00° and 90.00°. The asymmetric unit holds La at (0.000, 0.000, 0.000), Re at (0.000, 0.000, 0.515), Re at (0.500, 0.500, 0.693) and Rh at (0.500, 0.500, 0.299).

# LaRe2Rh

An optimized crystal structure of LaRe2Rh (PBE, the Alexandria database).

The calculation puts the formation energy at 0.304 eV per atom. For the volume, the calculation gives 146.6 Å³ per cell. The value obtained for the density is 13.91 g/cm3. The magnetic moment is 0.00 μB per cell. The raw total energy is -71.92 eV for the cell shown.

The structure belongs to space group C2/m (No. 12); the cell edges are 11.622, 2.853 and 4.744 Å and the angles 90.00°, 111.23° and 90.00°. The asymmetric unit holds La at (0.000, 0.000, 0.000), Re at (0.220, 0.000, 0.718) and Rh at (0.000, 0.500, 0.500).

# LaRe2Rh

An optimized crystal structure of LaRe2Rh (PBE, the Alexandria database).

The calculation puts the formation energy at 0.846 eV per atom. For the volume, the calculation gives 71.8 Å³ per cell. The value obtained for the density is 14.21 g/cm3. The magnetic moment is 0.05 μB per cell. The raw total energy is -33.79 eV for the cell shown.

The structure belongs to space group P4/mmm (No. 123); the cell edges are 4.724, 4.724 and 3.216 Å and the angles 90.00°, 90.00° and 90.00°. The asymmetric unit holds La at (0.000, 0.000, 0.000), Re at (0.000, 0.500, 0.500) and Rh at (0.500, 0.500, 0.000).

# LaReRh2

An optimized crystal structure of LaReRh2 (PBE, the Alexandria database).

The calculation puts the formation energy at 0.025 eV per atom. For the volume, the calculation gives 72.5 Å³ per cell. The value obtained for the density is 12.17 g/cm3. The magnetic moment is 0.00 μB per cell. The raw total energy is -31.98 eV for the cell shown.

The structure belongs to space group Pm (No. 6); the cell edges are 2.949, 4.630 and 5.385 Å and the angles 90.00°, 99.74° and 90.00°. The asymmetric unit holds La at (0.000, 0.000, 0.000), Re at (0.782, 0.500, 0.397), Rh at (0.422, 0.000, 0.492) and Rh at (0.434, 0.500, 0.823).

| no. | relative energy among the computed polymorphs (meV per atom) |
| --- | --- |
| 1 | 0 |
| 2 | 208 |
| 3 | 750 |
| 4 | 70 |